Material: Li3Co4B4O12
Method: DFT, PBE+U
State: optimized geometry

Results
total magnetization = 13.03 μB/f.u.
energy = -6.74 eV per atom
V = 10.208 A^3/atom

Lattice parameters (Å, degrees): 5.220 8.916 11.216 90.00 115.90 90.00
Space group Pc (No. 7)
Symmetry-distinct sites (fractional):
1 Li 0.000 0.249 0.000 [2 per cell]
2 Li 0.410 0.250 0.729 [2 per cell]
3 Li 0.530 0.249 0.507 [2 per cell]
4 Co 0.410 0.409 0.220 [2 per cell]
5 Co 0.496 0.085 0.983 [2 per cell]
6 Co 0.923 0.074 0.737 [2 per cell]
7 Co 0.984 0.409 0.458 [2 per cell]
8 B 0.000 0.082 0.480 [2 per cell]
9 B 0.409 0.084 0.219 [2 per cell]
10 B 0.484 0.420 0.963 [2 per cell]
11 B 0.900 0.416 0.718 [2 per cell]
12 O 0.080 0.054 0.942 [2 per cell]
13 O 0.135 0.429 0.690 [2 per cell]
14 O 0.159 0.210 0.496 [2 per cell]
15 O 0.266 0.221 0.209 [2 per cell]
16 O 0.277 0.422 0.013 [2 per cell]
17 O 0.315 0.043 0.757 [2 per cell]
18 O 0.570 0.441 0.432 [2 per cell]
19 O 0.595 0.290 0.943 [2 per cell]
20 O 0.629 0.082 0.183 [2 per cell]
21 O 0.761 0.083 0.503 [2 per cell]
22 O 0.765 0.282 0.707 [2 per cell]
23 O 0.797 0.456 0.257 [2 per cell]